1.
18
Lattice="5.989 0.000 0.000 -2.995 5.187 0.000 0.000 0.000 9.151" Properties=species:S:1:pos:R:3 comment="NaInMoF6 | the Alexandria database | PBE with a Hubbard U | relaxed" final_energy_ev_per_atom=-4.91 pbc="T T T"
Na 0.000 0.000 0.000
Na 0.000 0.000 4.576
In 0.000 3.458 2.288
In 2.995 1.729 6.864
Mo 0.000 3.458 6.864
Mo 2.995 1.729 2.288
F -0.906 1.890 5.787
F -1.811 3.457 7.940
F 0.906 1.890 7.940
F -0.905 5.026 5.787
F 2.090 0.161 1.211
F 1.184 1.730 3.365
F 1.811 3.457 5.787
F 0.905 5.026 7.940
F 3.900 0.161 3.365
F 2.089 3.297 1.211
F 4.805 1.730 1.211
F 3.901 3.297 3.365

=====

2.
12
Lattice="5.106 0.000 0.000 0.000 6.834 0.000 -0.190 0.000 5.180" Properties=species:S:1:pos:R:3 comment="Na2InMoF8 | the Alexandria database | PBE with a Hubbard U | relaxed" final_energy_ev_per_atom=-4.93 pbc="T T T"
Na 0.000 1.690 0.000
Na 0.000 5.144 0.000
In 2.458 3.417 2.590
Mo 2.458 0.000 2.590
F 1.034 0.000 1.097
F 1.045 3.417 1.116
F 1.509 1.687 3.511
F 1.509 5.147 3.511
F 3.408 1.687 1.669
F 3.408 5.147 1.669
F 3.872 3.417 4.064
F 3.883 0.000 4.083

=====

3.
14
Lattice="4.620 -3.606 0.000 4.620 3.606 0.000 -4.226 0.000 7.592" Properties=species:S:1:pos:R:3 comment="InMoO4F | the Alexandria database | PBE with a Hubbard U | relaxed" final_energy_ev_per_atom=-6.27 pbc="T T T"
In 0.788 0.000 1.495
In 4.227 0.000 6.097
Mo 0.399 0.000 5.287
Mo 4.616 0.000 2.306
O -0.320 1.457 6.040
O 0.045 0.000 3.525
O 2.845 0.000 2.074
O 5.336 1.457 1.552
O -0.320 -1.457 6.040
O 2.170 0.000 5.518
O 4.970 0.000 4.067
O 5.336 -1.457 1.552
F -3.053 0.000 6.987
F 8.068 0.000 0.605

=====

4.
5
Lattice="4.063 0.000 0.000 0.000 4.063 0.000 0.000 0.000 4.358" Properties=species:S:1:pos:R:3 comment="InMoO2F | the Alexandria database | PBE with a Hubbard U | relaxed" final_energy_ev_per_atom=-5.79 pbc="T T T"
In 0.000 0.000 0.000
Mo 2.031 2.031 2.179
O 0.000 2.031 2.179
O 2.031 0.000 2.179
F 2.031 2.031 0.000